{"formula": "MnNb3O", "functional": "GGA+U", "state": "relaxed", "lattice_angstrom": [[4.290, 0.000, 0.000], [0.000, 4.290, 0.000], [0.000, 0.000, 4.290]], "species": ["Mn", "Nb", "Nb", "Nb", "O"], "fractional_positions": [[0.000, 0.000, 0.000], [0.000, 0.500, 0.500], [0.500, 0.000, 0.500], [0.500, 0.500, 0.000], [0.500, 0.500, 0.500]], "relative_energy_mev_per_atom": 0, "spacegroup": "Pm-3m (221)"}